First-principles (PBE) data for CaTeW after structural relaxation, as listed in Alexandria.

The value obtained for the uncorrected formation energy is 0.3770 eV/atom. The calculation puts the energy above the lowest structure with this stoichiometry at 0.436 eV/f.u. For the final energy, the calculation gives -5.655 eV/atom. For the density, the calculation gives 7.96 g/cm3. The crystal system is trigonal. The volume is 24.438 Å³/atom.

The space group is P3m1 (No. 156) and the conventional cell measures 3.4808, 3.4808 and 6.9872 Å, with angles of 90.00, 90.00 and 120.00 degrees. Symmetry generates all atoms from Ca at (0.0000, 0.0000, 0.0000), Te at (0.3333, 0.6667, 0.3927) and W at (0.6667, 0.3333, 0.6537).